1.
Here is crystalline CaCr2As at its relaxed geometry from the Alexandria database. Energies are from GGA-PBEsol.

a b c (Å): 3.1485 3.9143 6.0741
angles (deg): 90.00 99.86 90.00
Closest atoms and distances in Å follow each position.
Space group Pm (No. 6)
One atom of each set of equivalent atoms:
Ca1 0.0000 0.0000 0.0000  4 As 2.93-2.94, 1 Cr 2.95, 2 Ca 3.15
Cr1 0.3501 0.0000 0.4832  4 Cr 2.49-2.59, 2 As 2.51
Cr2 0.8050 0.5000 0.4223  4 Cr 2.49-2.59, 2 As 2.49-2.50
As1 0.4139 0.5000 0.7462  4 Cr 2.49-2.51

Properties
Energy of formation ... 0.0558 eV/atom
Electronic total energy ... -27.50 eV per cell

=====

2.
Here is crystalline CaCrAs3 at its relaxed geometry from the Alexandria database. Energies are from GGA-PBEsol.

a b c (Å): 5.1755 5.1755 5.1755
angles (deg): 90.00 90.00 90.00
Closest atoms and distances in Å follow each position.
Space group Pm-3m (No. 221)
One atom of each set of equivalent atoms:
Ca1 0.0000 0.0000 0.0000  6 As 2.59
Cr1 0.5000 0.5000 0.5000  12 As 3.66
As1 0.0000 0.0000 0.5000  2 Ca 2.59

Properties
Energy of formation ... 1.1405 eV/atom
Electronic total energy ... -21.99 eV per cell

=====

3.
Here is crystalline CaCr2As at its relaxed geometry from the Alexandria database. Energies are from GGA-PBEsol.

a b c (Å): 8.8504 3.0791 5.1285
angles (deg): 90.00 100.21 90.00
Closest atoms and distances in Å follow each position.
Space group C2/m (No. 12)
One atom of each set of equivalent atoms:
Ca1 0.0000 0.0000 0.0000  4 As 2.99, 6 Cr 3.02-3.14, 2 Ca 3.08
Cr1 0.2334 0.0000 0.6367  2 Cr 2.14
As1 0.0000 0.5000 0.5000  6 Cr 2.57-2.58

Properties
Energy of formation ... 0.2206 eV/atom
Electronic total energy ... -53.68 eV per cell

=====

Short version: Fermi-level density of states = 1.19 3.97 8.58 states/eV/cell, in the order given.